1.
Computed, not measured: crystalline LiTeN at its relaxed geometry at the PBE level of DFT.

Cell: 6.3120 5.8470 8.2245 Å, 90.00 99.46 90.00°
Space group C2/m (No. 12)
Symmetry-distinct sites (fractional):
Li 0.1180 0.0000 0.3345 x4
Te 0.0795 0.5000 0.3512 x4
N 0.0210 0.0000 0.0688 x4

Properties
- magnetic moment (μB per atom) = 0.000
- uncorrected formation energy (eV/atom) = -0.423
- calculated density (Mg/m³) = 3.30
- crystal system = monoclinic
- volume (Å³ per cell) = 299.4
- uncorrected energy (eV/atom) = -4.88


2.
Computed, not measured: crystalline LiTe2N2 at its relaxed geometry at the PBE level of DFT.

Cell: 4.0167 4.0167 6.2783 Å, 90.00 90.00 90.00°
Space group P4/mmm (No. 123)
Symmetry-distinct sites (fractional):
Li 0.0000 0.0000 0.0000 x1
Te 0.5000 0.5000 0.0000 x1
Te 0.5000 0.5000 0.5000 x1
N 0.0000 0.5000 0.5000 x2

Properties
- magnetic moment (μB per atom) = 0.072
- distance to the lowest polymorph of the same formula (kcal/mol of atoms) = 1.480
- uncorrected formation energy (eV/atom) = 1.057
- DOS(E_F) (states/eV/cell) = 4.509
- calculated density (Mg/m³) = 4.76
- crystal system = tetragonal
- volume (Å³ per cell) = 101.3
- uncorrected energy (eV/atom) = -3.91


3.
Computed, not measured: crystalline LiTeN3 at its relaxed geometry at the PBE level of DFT.

Cell: 3.7241 3.7241 3.7241 Å, 90.00 90.00 90.00°
Space group Pm-3m (No. 221)
Symmetry-distinct sites (fractional):
Li 0.0000 0.0000 0.0000 x1
Te 0.5000 0.5000 0.5000 x1
N 0.0000 0.0000 0.5000 x3

Properties
- magnetic moment (μB per atom) = 0.560
- uncorrected formation energy (eV/atom) = 1.995
- DOS(E_F) (states/eV/cell) = 3.526
- calculated density (Mg/m³) = 5.68
- crystal system = cubic
- volume (Å³ per cell) = 51.7
- uncorrected energy (eV/atom) = -4.01


4.
Computed, not measured: crystalline LiTiTeN2 at its relaxed geometry at the PBE level of DFT.

Cell: 3.8604 3.8604 4.7024 Å, 90.00 90.00 90.00°
Space group P4/mmm (No. 123)
Symmetry-distinct sites (fractional):
Li 0.0000 0.0000 0.0000 x1
Ti 0.5000 0.5000 0.5000 x1
Te 0.0000 0.0000 0.5000 x1
N 0.0000 0.5000 0.0000 x2

Properties
- magnetic moment (μB per atom) = 0.000
- distance to the lowest polymorph of the same formula (kcal/mol of atoms) = 27.165
- uncorrected formation energy (eV/atom) = 1.285
- DOS(E_F) (states/eV/cell) = 3.548
- calculated density (Mg/m³) = 4.99
- crystal system = tetragonal
- volume (Å³ per cell) = 70.1
- uncorrected energy (eV/atom) = -4.64


5.
Computed, not measured: crystalline LiTiTeN2 at its relaxed geometry at the PBE level of DFT.

Cell: 4.2573 4.2573 5.1807 Å, 90.00 90.00 90.00°
Space group P4/mmm (No. 123)
Symmetry-distinct sites (fractional):
Li 0.0000 0.0000 0.0000 x1
Ti 0.5000 0.5000 0.0000 x1
Te 0.5000 0.5000 0.5000 x1
N 0.0000 0.5000 0.5000 x2

Properties
- magnetic moment (μB per atom) = 0.316
- distance to the lowest polymorph of the same formula (kcal/mol of atoms) = 32.976
- uncorrected formation energy (eV/atom) = 1.537
- DOS(E_F) (states/eV/cell) = 4.616
- calculated density (Mg/m³) = 3.72
- crystal system = tetragonal
- volume (Å³ per cell) = 93.9
- uncorrected energy (eV/atom) = -4.38


6.
Computed, not measured: crystalline LiTiTeN2 at its relaxed geometry at the PBE level of DFT.

Cell: 3.9091 3.9091 5.8293 Å, 90.00 90.00 90.00°
Space group P4/mmm (No. 123)
Symmetry-distinct sites (fractional):
Li 0.0000 0.0000 0.0000 x1
Ti 0.5000 0.5000 0.5000 x1
Te 0.5000 0.5000 0.0000 x1
N 0.0000 0.5000 0.5000 x2

Properties
- magnetic moment (μB per atom) = 0.048
- distance to the lowest polymorph of the same formula (kcal/mol of atoms) = 0.000
- uncorrected formation energy (eV/atom) = 0.107
- DOS(E_F) (states/eV/cell) = 3.809
- calculated density (Mg/m³) = 3.92
- crystal system = tetragonal
- volume (Å³ per cell) = 89.1
- uncorrected energy (eV/atom) = -5.81


7.
Computed, not measured: crystalline LiTlTeN2 at its relaxed geometry at the PBE level of DFT.

Cell: 4.4449 4.4449 6.2393 Å, 90.00 90.00 90.00°
Space group P4/mmm (No. 123)
Symmetry-distinct sites (fractional):
Li 0.0000 0.0000 0.0000 x1
Tl 0.5000 0.5000 0.5000 x1
Te 0.5000 0.5000 0.0000 x1
N 0.0000 0.5000 0.5000 x2

Properties
- magnetic moment (μB per atom) = 0.766
- distance to the lowest polymorph of the same formula (kcal/mol of atoms) = 0.000
- uncorrected formation energy (eV/atom) = 1.435
- DOS(E_F) (states/eV/cell) = 3.465
- calculated density (Mg/m³) = 4.94
- crystal system = tetragonal
- volume (Å³ per cell) = 123.3
- uncorrected energy (eV/atom) = -3.38


8.
Computed, not measured: crystalline LiTlTe2N at its relaxed geometry at the PBE level of DFT.

Cell: 6.0555 6.0555 4.2566 Å, 90.00 90.00 90.00°
Space group P4/mmm (No. 123)
Symmetry-distinct sites (fractional):
Li 0.0000 0.0000 0.0000 x1
Tl 0.5000 0.5000 0.5000 x1
Te 0.0000 0.5000 0.5000 x2
N 0.5000 0.5000 0.0000 x1

Properties
- magnetic moment (μB per atom) = 0.493
- distance to the lowest polymorph of the same formula (kcal/mol of atoms) = 3.636
- uncorrected formation energy (eV/atom) = 0.845
- DOS(E_F) (states/eV/cell) = 3.954
- calculated density (Mg/m³) = 5.11
- crystal system = tetragonal
- volume (Å³ per cell) = 156.1
- uncorrected energy (eV/atom) = -2.93